[1]
Here is a geometry-optimized NaInNiGe structure from the Open Quantum Materials Database. Energies are from PBE.

Computed properties:
The calculation puts the calculated density at 6.39 g cm⁻³. The value obtained for the uncorrected energy is -13.89 eV/cell. For the calculated volume, the calculation gives 17.5 A^3/atom.

Structure (POSCAR):
```
NaInNiGe
1.0
0.000 3.271 3.271
3.271 0.000 3.271
3.271 3.271 0.000
Ge Ni In Na
1 1 1 1
Direct
0.500 0.500 0.500 Ge
0.250 0.250 0.250 Ni
0.000 0.000 0.000 In
0.750 0.750 0.750 Na
```


[2]
Here is a geometry-optimized NaInNiGe structure from the Open Quantum Materials Database. Energies are from PBE.

Computed properties:
The calculation puts the calculated density at 6.06 g cm⁻³. The value obtained for the uncorrected energy is -13.26 eV/cell. For the calculated volume, the calculation gives 18.4 A^3/atom.

Structure (POSCAR):
```
NaInNiGe
1.0
-2.694 -3.584 1.434
-0.241 -1.079 4.576
-3.953 0.845 2.412
Na Ge Ni In
1 1 1 1
Direct
0.750 0.750 0.750 Na
0.250 0.250 0.250 Ge
0.500 0.500 0.500 Ni
0.000 0.000 0.000 In
```


[3]
Here is a geometry-optimized NaInGePd structure from the Open Quantum Materials Database. Energies are from PBE.

Computed properties:
The calculation puts the calculated density at 6.73 g cm⁻³. The value obtained for the uncorrected energy is -14.26 eV/cell. For the calculated volume, the calculation gives 19.6 A^3/atom.

Structure (POSCAR):
```
NaInGePd
1.0
1.725 1.733 4.131
-2.440 3.371 2.394
-2.158 -1.089 4.148
Ge Na Pd In
1 1 1 1
Direct
0.000 0.000 0.000 Ge
0.750 0.750 0.750 Na
0.500 0.500 0.500 Pd
0.250 0.250 0.250 In
```


[4]
Here is a geometry-optimized NaInGePd structure from the Open Quantum Materials Database. Energies are from PBE.

Computed properties:
The calculation puts the calculated density at 6.74 g cm⁻³. The value obtained for the uncorrected energy is -14.09 eV/cell. For the calculated volume, the calculation gives 19.5 A^3/atom.

Structure (POSCAR):
```
NaInGePd
1.0
-4.534 -1.396 0.712
-3.353 0.971 -3.291
-1.862 -3.543 -2.645
Ge In Pd Na
1 1 1 1
Direct
0.250 0.250 0.250 Ge
0.000 0.000 0.000 In
0.500 0.500 0.500 Pd
0.750 0.750 0.750 Na
```


[5]
Here is a geometry-optimized NaInGePd structure from the Open Quantum Materials Database. Energies are from PBE.

Computed properties:
The calculation puts the calculated density at 6.96 g cm⁻³. The value obtained for the uncorrected energy is -14.51 eV/cell. For the calculated volume, the calculation gives 18.9 A^3/atom.

Structure (POSCAR):
```
NaInGePd
1.0
-3.606 0.315 3.069
-3.843 2.555 -1.109
-4.110 -2.180 -0.936
Na In Ge Pd
1 1 1 1
Direct
0.750 0.750 0.750 Na
0.000 0.000 0.000 In
0.500 0.500 0.500 Ge
0.250 0.250 0.250 Pd
```


[6]
Here is a geometry-optimized NaInGePt structure from the Open Quantum Materials Database. Energies are from PBE.

Computed properties:
The calculation puts the calculated density at 8.74 g cm⁻³. The value obtained for the uncorrected energy is -14.82 eV/cell. For the calculated volume, the calculation gives 19.3 A^3/atom.

Structure (POSCAR):
```
NaInGePt
1.0
0.000 3.378 3.378
3.378 0.000 3.378
3.378 3.378 0.000
In Ge Pt Na
1 1 1 1
Direct
0.000 0.000 0.000 In
0.250 0.250 0.250 Ge
0.500 0.500 0.500 Pt
0.750 0.750 0.750 Na
```